1.
The following is a PBE calculation of crystalline NiAsP at its relaxed geometry, from Alexandria via LeMat-Bulk.

Unit cell a=3.630 b=3.695 c=7.227 alpha=90.00 beta=90.00 gamma=90.00
Space group Amm2 (No. 38)
Inequivalent atoms, fractional coordinates:
Ni: 0.000 0.000 0.000 x2
As: 0.500 0.000 0.467 x2
P: 0.000 0.000 0.691 x2

Properties
The calculation puts the energy above the most stable polymorph in this dataset at 0.65 eV/f.u. The total magnetization comes out at 0.00 μB per formula unit.

***

2.
The following is a PBE calculation of crystalline Ni3AsP at its relaxed geometry, from Alexandria via LeMat-Bulk.

Unit cell a=6.406 b=5.627 c=7.257 alpha=90.00 beta=96.94 gamma=90.00
Space group P2_1/c (No. 14)
Inequivalent atoms, fractional coordinates:
Ni: 0.095 0.138 0.112 x4
Ni: 0.196 0.536 0.942 x4
Ni: 0.275 0.045 0.814 x4
As: 0.458 0.247 0.592 x4
P: 0.077 0.742 0.663 x4

Properties
The calculation puts the energy above the most stable polymorph in this dataset at 0.00 eV/f.u. The total magnetization comes out at 0.00 μB per formula unit.

***

3.
The following is a PBE calculation of crystalline NiAsP at its relaxed geometry, from Alexandria via LeMat-Bulk.

Unit cell a=5.794 b=5.642 c=5.787 alpha=90.00 beta=104.18 gamma=90.00
Space group P2_1/c (No. 14)
Inequivalent atoms, fractional coordinates:
Ni: 0.236 0.010 0.245 x4
As: 0.349 0.626 0.152 x4
P: 0.143 0.129 0.857 x4

Properties
The calculation puts the energy above the most stable polymorph in this dataset at 0.00 eV/f.u. The total magnetization comes out at 0.00 μB per formula unit.

***

4.
The following is a PBE calculation of crystalline NiAsP at its relaxed geometry, from Alexandria via LeMat-Bulk.

Unit cell a=3.277 b=2.658 c=10.763 alpha=90.00 beta=90.00 gamma=90.00
Space group Amm2 (No. 38)
Inequivalent atoms, fractional coordinates:
Ni: 0.000 0.000 0.000 x2
As: 0.500 0.000 0.183 x2
P: 0.500 0.000 0.415 x2

Properties
The calculation puts the energy above the most stable polymorph in this dataset at 0.65 eV/f.u. The total magnetization comes out at 0.00 μB per formula unit.

***

5.
The following is a PBE calculation of crystalline Ni2AsP at its relaxed geometry, from Alexandria via LeMat-Bulk.

Unit cell a=3.551 b=4.425 c=4.144 alpha=90.00 beta=114.39 gamma=90.00
Space group Pm (No. 6)
Inequivalent atoms, fractional coordinates:
Ni: 0.000 0.000 0.000 x1
Ni: 0.193 0.500 0.378 x1
As: 0.312 0.000 0.610 x1
P: 0.887 0.500 0.778 x1

Properties
The calculation puts the energy above the most stable polymorph in this dataset at 0.48 eV/f.u. The total magnetization comes out at 0.00 μB per formula unit.

***

6.
The following is a PBE calculation of crystalline Ni2AsP at its relaxed geometry, from Alexandria via LeMat-Bulk.

Unit cell a=2.782 b=3.473 c=5.882 alpha=90.00 beta=90.00 gamma=90.00
Space group Pmm2 (No. 25)
Inequivalent atoms, fractional coordinates:
Ni: 0.000 0.000 0.000 x1
Ni: 0.500 0.500 0.251 x1
As: 0.500 0.500 0.822 x1
P: 0.000 0.000 0.380 x1

Properties
The calculation puts the energy above the most stable polymorph in this dataset at 0.85 eV/f.u. The total magnetization comes out at 0.00 μB per formula unit.

***

7.
The following is a PBE calculation of crystalline Ni2AsP at its relaxed geometry, from Alexandria via LeMat-Bulk.

Unit cell a=2.9982 b=2.9982 c=20.5129 alpha=90.00 beta=90.00 gamma=120.00
Space group R-3m (No. 166, hexagonal axes)
Inequivalent atoms, fractional coordinates:
Ni: 0.0000 0.0000 0.2406 x6
As: 0.0000 0.0000 0.0000 x3
P: 0.0000 0.0000 0.5000 x3

Properties
The calculation puts the energy above the most stable polymorph in this dataset at 0.96 eV/f.u. The total magnetization comes out at 0.00 μB per formula unit.

***

8.
The following is a PBE calculation of crystalline Ni2AsP at its relaxed geometry, from Alexandria via LeMat-Bulk.

Unit cell a=4.082 b=4.082 c=14.030 alpha=90.00 beta=90.00 gamma=90.00
Space group I-42d (No. 122)
Inequivalent atoms, fractional coordinates:
Ni: 0.212 0.250 0.125 x8
As: 0.000 0.000 0.500 x4
P: 0.000 0.000 0.000 x4

Properties
The calculation puts the energy above the most stable polymorph in this dataset at 0.74 eV/f.u. The total magnetization comes out at 0.00 μB per formula unit.

***

9.
The following is a PBE calculation of crystalline Ni4AsP at its relaxed geometry, from Alexandria via LeMat-Bulk.

Unit cell a=6.711 b=6.711 c=6.711 alpha=90.00 beta=90.00 gamma=90.00
Space group F-43m (No. 216)
Inequivalent atoms, fractional coordinates:
Ni: 0.125 0.125 0.125 x16
As: 0.000 0.000 0.500 x4
P: 0.250 0.250 0.750 x4

Properties
The calculation puts the energy above the most stable polymorph in this dataset at 2.89 eV/f.u. The total magnetization comes out at 1.41 μB per formula unit.

***

10.
The following is a PBE calculation of crystalline Ni2AsP at its relaxed geometry, from Alexandria via LeMat-Bulk.

Unit cell a=6.972 b=2.881 c=5.474 alpha=90.00 beta=103.63 gamma=90.00
Space group C2/m (No. 12)
Inequivalent atoms, fractional coordinates:
Ni: 0.242 0.000 0.195 x4
As: 0.000 0.000 0.500 x2
P: 0.000 0.500 0.000 x2

Properties
The calculation puts the energy above the most stable polymorph in this dataset at 0.80 eV/f.u. The total magnetization comes out at 0.00 μB per formula unit.

***

11.
The following is a PBE calculation of crystalline NiAsP at its relaxed geometry, from Alexandria via LeMat-Bulk.

Unit cell a=2.8411 b=2.8411 c=7.4933 alpha=90.00 beta=90.00 gamma=120.00
Space group P3m1 (No. 156)
Inequivalent atoms, fractional coordinates:
Ni: 0.0000 0.0000 0.0000 x1
As: 0.3333 0.6667 0.7318 x1
P: 0.6667 0.3333 0.2087 x1

Properties
The calculation puts the energy above the most stable polymorph in this dataset at 0.98 eV/f.u. The total magnetization comes out at 0.00 μB per formula unit.

***

12.
The following is a PBE calculation of crystalline NiAsP at its relaxed geometry, from Alexandria via LeMat-Bulk.

Unit cell a=6.299 b=3.638 c=4.907 alpha=90.00 beta=116.07 gamma=90.00
Space group Cm (No. 8)
Inequivalent atoms, fractional coordinates:
Ni: 0.000 0.000 0.000 x2
As: 0.077 0.500 0.740 x2
P: 0.404 0.000 0.205 x2

Properties
The calculation puts the energy above the most stable polymorph in this dataset at 0.38 eV/f.u. The total magnetization comes out at 0.00 μB per formula unit.